No. 1
Be2ZnTeO6: relaxed, GGA-PBE.

POSCAR file:
```
Be2ZnTeO6
1.0
4.935 -4.229 0.000
4.935 4.229 0.000
-2.157 0.000 5.096
Be Zn Te O
4 2 2 12
Direct
0.128 0.275 0.155
0.275 0.128 0.655
0.725 0.872 0.345
0.872 0.725 0.845
0.402 0.598 0.750
0.598 0.402 0.250
0.225 0.775 0.250
0.775 0.225 0.750
0.093 0.214 0.820
0.131 0.674 0.877
0.214 0.093 0.320
0.280 0.480 0.309
0.326 0.869 0.623
0.480 0.280 0.809
0.520 0.720 0.191
0.674 0.131 0.377
0.720 0.520 0.691
0.786 0.907 0.680
0.869 0.326 0.123
0.907 0.786 0.180
```

## Properties
As for the formation energy (no corrections): -17.225 eV per formula unit. As for the crystal system: monoclinic. The size of the total moment comes out at 0.000 μB per formula unit.



No. 2
Zr5BiSb: relaxed, GGA-PBE.

POSCAR file:
```
Zr5BiSb
1.0
3.823 -3.968 0.000
3.823 3.968 0.000
-3.295 0.000 11.024
Zr Bi Sb
10 2 2
Direct
0.041 0.525 0.135
0.041 0.959 0.750
0.227 0.489 0.435
0.475 0.959 0.365
0.489 0.227 0.935
0.511 0.773 0.065
0.525 0.041 0.635
0.773 0.511 0.565
0.959 0.041 0.250
0.959 0.475 0.865
0.422 0.578 0.750
0.578 0.422 0.250
0.000 0.000 0.000
0.000 0.000 0.500
```

## Properties
As for the formation energy (no corrections): -1.134 eV per formula unit. As for the crystal system: monoclinic. The size of the total moment comes out at 0.000 μB per formula unit.



- Look up the formation energy (no corrections) of the first one.
  -17.225 eV per formula unit